# 1
# PBE BeZnTePO, relaxed
# **Spin magnetization**: 0.00 μB/cell
# **Calculated volume**: 22.30 Å³ per atom
# **Formation energy from raw total energies**: -0.682 eV/atom
# **DFT total energy**: -4.38 eV per atom
# **DOS at the Fermi energy**: 0.72 states/eV/cell
# **ΔE to the lowest computed polymorph**: 7.25 kJ/mol of atoms
data_BeZnTePO
_chemical_formula_sum 'Be1 Zn1 Te1 P1 O1'
_cell_length_a 5.7387
_cell_length_b 3.2972
_cell_length_c 5.9988
_cell_angle_alpha 90.00
_cell_angle_beta 100.73
_cell_angle_gamma 90.00
_space_group_name_H-M_alt 'P 1 m 1'
_space_group_IT_number 6
loop_
_space_group_symop_operation_xyz
'x,y,z'
'x,-y,z'
loop_
_atom_site_label
_atom_site_type_symbol
_atom_site_fract_x
_atom_site_fract_y
_atom_site_fract_z
Be1 Be 0.0000 0.0000 0.0000
Zn1 Zn 0.9170 0.5000 0.5752
Te1 Te 0.5056 0.5000 0.2258
P1 P 0.0715 0.5000 0.2344
O1 O 0.9417 0.0000 0.7512

# 2
# PBE Sr2Li12Zn3In, relaxed
# **Spin magnetization**: 0.00 μB/cell
# **Calculated volume**: 22.32 Å³ per atom
# **Calculated formation energy**: 8 meV/atom
# **DFT total energy**: -1.82 eV per atom
# **DOS at the Fermi energy**: 37.10 states/eV/cell
data_Sr2Li12Zn3In
_chemical_formula_sum 'Sr6 Li36 Zn9 In3'
_cell_length_a 10.0979
_cell_length_b 10.0979
_cell_length_c 13.6509
_cell_angle_alpha 90.00
_cell_angle_beta 90.00
_cell_angle_gamma 120.00
_space_group_name_H-M_alt 'R -3 m'
_space_group_IT_number 166
_space_group_name_Hall '-R 3 2"'
loop_
_atom_site_label
_atom_site_type_symbol
_atom_site_fract_x
_atom_site_fract_y
_atom_site_fract_z
Sr1 Sr 0.0000 0.0000 0.2454
Li1 Li 0.0231 0.5116 0.1996
Li2 Li 0.0466 0.5233 0.6038
Zn1 Zn 0.0000 0.5000 0.0000
In1 In 0.0000 0.0000 0.5000

# 3
# PBE Tb8Sm3Y4, relaxed
# **Spin magnetization**: 0.00 μB/cell
# **Calculated volume**: 33.66 Å³ per atom
# **Calculated formation energy**: 386 meV/atom
# **DFT total energy**: -4.75 eV per atom
# **DOS at the Fermi energy**: 58.87 states/eV/cell
data_Tb8Sm3Y4
_chemical_formula_sum 'Tb16 Sm6 Y8'
_cell_length_a 13.4442
_cell_length_b 12.7838
_cell_length_c 6.8089
_cell_angle_alpha 90.00
_cell_angle_beta 120.35
_cell_angle_gamma 90.00
_space_group_name_H-M_alt 'C 1 2/m 1'
_space_group_IT_number 12
loop_
_space_group_symop_operation_xyz
'x,y,z'
'-x,-y,-z'
'-x,y,-z'
'x,-y,z'
'x+1/2,y+1/2,z'
'-x+1/2,-y+1/2,-z'
'-x+1/2,y+1/2,-z'
'x+1/2,-y+1/2,z'
loop_
_atom_site_label
_atom_site_type_symbol
_atom_site_fract_x
_atom_site_fract_y
_atom_site_fract_z
Tb1 Tb 0.0000 0.1425 0.0000
Tb2 Tb 0.0000 0.2453 0.5000
Tb3 Tb 0.2290 0.0000 0.4593
Tb4 Tb 0.2334 0.0000 0.9884
Sm1 Sm 0.0000 0.0000 0.5000
Sm2 Sm 0.2500 0.2500 0.5000
Y1 Y 0.0000 0.5000 0.0000
Y2 Y 0.0000 0.5000 0.5000
Y3 Y 0.2500 0.2500 0.0000